The following is a PBEsol calculation of crystalline Pb2Au at its relaxed geometry, from Alexandria.

Unit cell a=7.8137 b=7.8137 c=4.3060 alpha=90.00 beta=90.00 gamma=120.00
Element x y z (fractional)
Pb 0.0000 0.4017 0.0000
Pb 0.0000 0.7382 0.5000
Pb 0.2618 0.2618 0.5000
Pb 0.4017 0.0000 0.0000
Pb 0.5983 0.5983 0.0000
Pb 0.7382 0.0000 0.5000
Au 0.0000 0.0000 0.0000
Au 0.3333 0.6667 0.5000
Au 0.6667 0.3333 0.5000

Its total energy is -4.02 eV/atom. The calculated formation energy comes out at -0.050 eV per atom.